# 1
Computed, not measured: a relaxed YHoSb2 crystal at the PBE level of DFT.

## Properties
symmetry	No. 194
theoretical density	6.92	g cm⁻³
density of states at the Fermi level	1.43	states/eV/cell
volume	238.6	Å³ per cell
VASP energy	-5.889	eV per atom

Unit cell a=4.368 b=4.368 c=14.440 alpha=90.00 beta=90.00 gamma=120.00
Sites, in units of the cell vectors:
Y  0.667  0.333  0.250
Y  0.333  0.667  0.750
Ho  0.000  0.000  0.500
Ho  0.000  0.000  0.000
Sb  0.333  0.667  0.378
Sb  0.667  0.333  0.878
Sb  0.667  0.333  0.622
Sb  0.333  0.667  0.122

***

# 2
Computed, not measured: a relaxed NbVMo2W crystal at the PBE level of DFT.

## Properties
symmetry	No. 11
theoretical density	10.86	g cm⁻³
density of states at the Fermi level	5.34	states/eV/cell
volume	158.9	Å³ per cell
VASP energy	-10.847	eV per atom

Unit cell a=4.495 b=6.873 c=5.255 alpha=101.80 beta=90.00 gamma=90.00
Sites, in units of the cell vectors:
Nb  0.250  0.151  0.953
Nb  0.750  0.849  0.047
V  0.250  0.745  0.744
V  0.750  0.255  0.256
Mo  0.750  0.647  0.452
Mo  0.250  0.353  0.548
Mo  0.750  0.449  0.848
Mo  0.250  0.551  0.152
W  0.250  0.950  0.356
W  0.750  0.050  0.644

***

# 3
Computed, not measured: a relaxed LaBe3C crystal at the PBE level of DFT.

## Properties
symmetry	No. 221
theoretical density	4.67	g cm⁻³
density of states at the Fermi level	3.02	states/eV/cell
volume	63.2	Å³ per cell
VASP energy	-4.299	eV per atom

Unit cell a=3.984 b=3.984 c=3.984 alpha=90.00 beta=90.00 gamma=90.00
Sites, in units of the cell vectors:
Be  0.000  0.500  0.000
Be  0.000  0.000  0.500
Be  0.500  0.000  0.000
C  0.000  0.000  0.000
La  0.500  0.500  0.500

***

# 4
Computed, not measured: a relaxed CuOsCl2 crystal at the PBE level of DFT.

## Properties
symmetry	No. 12
theoretical density	7.96	g cm⁻³
density of states at the Fermi level	2.53	states/eV/cell
volume	67.7	Å³ per cell
VASP energy	-4.026	eV per atom

Unit cell a=5.700 b=5.700 c=2.912 alpha=59.52 beta=59.52 gamma=86.59
Sites, in units of the cell vectors:
Os  0.000  0.500  0.500
Cu  0.500  0.000  0.500
Cl  0.000  0.000  0.000
Cl  0.500  0.500  0.000

***

What did the fourth record say?
Computed, not measured: a relaxed CuOsCl2 crystal at the PBE level of DFT.

## Properties
symmetry	No. 12
theoretical density	7.96	g cm⁻³
density of states at the Fermi level	2.53	states/eV/cell
volume	67.7	Å³ per cell
VASP energy	-4.026	eV per atom

Unit cell a=5.700 b=5.700 c=2.912 alpha=59.52 beta=59.52 gamma=86.59
Sites, in units of the cell vectors:
Os  0.000  0.500  0.500
Cu  0.500  0.000  0.500
Cl  0.000  0.000  0.000
Cl  0.500  0.500  0.000

***

What is the formula in the second record? NbVMo2W

***

What is the volume in the second record? 158.9 Å³ per cell